No. 1
{"formula": "BaLiZn2Ga", "functional": "PBE", "state": "relaxed", "lattice": [[-2.744, -4.160, -0.610], [2.879, -2.390, 3.347], [-3.096, 1.495, 3.730]], "species": ["Zn", "Zn", "Ba", "Ga", "Li"], "fractional_positions": [[0.000, 0.500, 0.000], [0.500, 0.000, 0.000], [0.500, 0.500, 0.500], [0.000, 0.000, 0.000], [0.000, 0.000, 0.500]], "magmom_total_mub_per_fu": 0.00, "final_energy_ev_per_atom": -1.977, "ef_kj_per_mol_atoms": -9}

***

No. 2
{"formula": "BaLiZnGa2", "functional": "PBE", "state": "relaxed", "lattice": [[4.752, 0.000, 0.000], [0.000, 4.752, 0.000], [-2.376, -2.376, 5.162]], "species": ["Ba", "Li", "Zn", "Ga", "Ga"], "fractional_positions": [[0.000, 0.000, 0.000], [0.750, 0.250, 0.500], [0.250, 0.750, 0.500], [0.623, 0.623, 0.246], [0.377, 0.377, 0.754]], "magmom_total_mub_per_fu": 0.00, "final_energy_ev_per_atom": -2.544, "ef_kj_per_mol_atoms": -30}

***

No. 3
{"formula": "Ba2LiZnGa2", "functional": "PBE", "state": "relaxed", "lattice": [[-1.946, 5.357, 3.694], [-6.349, -1.703, -0.875], [4.421, -6.119, 4.960]], "species": ["Ba", "Ba", "Ba", "Ba", "Li", "Li", "Zn", "Zn", "Ga", "Ga", "Ga", "Ga"], "fractional_positions": [[0.403, 0.162, 0.323], [0.597, 0.838, 0.677], [0.080, 0.338, 0.677], [0.920, 0.662, 0.323], [0.000, 0.750, 0.000], [0.000, 0.250, 0.000], [0.500, 0.750, 0.000], [0.500, 0.250, 0.000], [0.817, 0.089, 0.178], [0.362, 0.589, 0.178], [0.638, 0.411, 0.822], [0.183, 0.911, 0.822]], "magmom_total_mub_per_fu": 0.00, "final_energy_ev_per_atom": -2.476, "ef_kj_per_mol_atoms": -28}

***

No. 4
{"formula": "BaMg9Ga2", "functional": "PBE", "state": "relaxed", "lattice": [[-5.026, -4.131, -4.417], [2.838, -8.783, -2.013], [-6.389, -4.946, 4.896]], "species": ["Ba", "Ba", "Mg", "Mg", "Mg", "Mg", "Mg", "Mg", "Mg", "Mg", "Mg", "Mg", "Mg", "Mg", "Mg", "Mg", "Mg", "Mg", "Mg", "Mg", "Ga", "Ga", "Ga", "Ga"], "fractional_positions": [[0.500, 0.000, 0.000], [0.250, 0.500, 0.500], [0.750, 0.500, 0.500], [0.000, 0.000, 0.000], [0.011, 0.924, 0.677], [0.612, 0.076, 0.323], [0.685, 0.177, 0.576], [0.438, 0.823, 0.424], [0.739, 0.823, 0.576], [0.138, 0.177, 0.424], [0.065, 0.924, 0.323], [0.312, 0.076, 0.677], [0.739, 0.576, 0.823], [0.138, 0.424, 0.177], [0.065, 0.323, 0.924], [0.312, 0.677, 0.076], [0.011, 0.677, 0.924], [0.612, 0.323, 0.076], [0.685, 0.576, 0.177], [0.438, 0.424, 0.823], [0.875, 0.250, 0.750], [0.875, 0.750, 0.250], [0.875, 0.250, 0.250], [0.375, 0.750, 0.750]], "magmom_total_mub_per_fu": 0.00, "final_energy_ev_per_atom": -2.001, "ef_kj_per_mol_atoms": -14}